[1]
Computed, not measured: a relaxed structure of KMgSc at the PBE level of DFT.

## Properties
Formation enthalpy at 0 K: 1.106 eV/atom
DOS(E_F): 3.92 states/eV/cell

Cell lengths 5.524, 5.524, 5.524 Å; angles 60.00, 60.00, 60.00 degrees
Fractional positions:
K: 0.000 0.000 0.000
Mg: 0.250 0.250 0.250
Sc: 0.750 0.750 0.750

***

[2]
Computed, not measured: a relaxed structure of KMgScSe3 at the PBE level of DFT.

## Properties
DOS(E_F): 0.00 states/eV/cell
Formation energy (no corrections): -1.460 eV/atom

Cell lengths 8.829, 4.100, 9.982 Å; angles 90.00, 109.21, 90.00 degrees
Fractional positions:
K: 0.216 0.250 0.235
K: 0.784 0.750 0.765
Mg: 0.089 0.250 0.614
Mg: 0.911 0.750 0.386
Sc: 0.334 0.750 0.874
Sc: 0.666 0.250 0.126
Se: 0.122 0.250 0.874
Se: 0.219 0.750 0.545
Se: 0.471 0.750 0.152
Se: 0.529 0.250 0.848
Se: 0.781 0.250 0.455
Se: 0.878 0.750 0.126

***

[3]
Computed, not measured: a relaxed structure of K3MgSc2Te6 at the PBE level of DFT.

## Properties
DOS(E_F): 5.80 states/eV/cell
Formation energy (no corrections): -1.081 eV/atom

Cell lengths 7.405, 7.405, 8.686 Å; angles 98.17, 98.17, 120.01 degrees
Fractional positions:
K: 0.000 0.000 0.000
K: 0.335 0.665 0.000
K: 0.665 0.335 0.000
Mg: 0.500 0.500 0.500
Sc: 0.167 0.833 0.500
Sc: 0.833 0.167 0.500
Te: 0.095 0.434 0.301
Te: 0.228 0.228 0.698
Te: 0.434 0.095 0.301
Te: 0.566 0.905 0.699
Te: 0.772 0.772 0.302
Te: 0.905 0.566 0.699

***

[4]
Computed, not measured: a relaxed structure of KMgSe2 at the PBE level of DFT.

## Properties
DOS(E_F): 0.55 states/eV/cell
Formation energy (no corrections): -0.623 eV/atom

Cell lengths 5.644, 5.644, 3.033 Å; angles 90.33, 90.33, 89.98 degrees
Fractional positions:
K: 0.000 0.000 0.000
Mg: 0.500 0.500 0.000
Se: 0.000 0.500 0.500
Se: 0.500 0.000 0.500

***

[5]
Computed, not measured: a relaxed structure of KMgSe3 at the PBE level of DFT.

## Properties
DOS(E_F): 6.43 states/eV/cell
Formation energy (no corrections): -0.470 eV/atom
E above lowest polymorph: 0.000 kcal/mol of atoms

Cell lengths 5.204, 5.204, 5.204 Å; angles 90.00, 90.00, 90.00 degrees
Fractional positions:
K: 0.000 0.000 0.000
Mg: 0.500 0.500 0.500
Se: 0.000 0.500 0.500
Se: 0.500 0.000 0.500
Se: 0.500 0.500 0.000

***

[6]
Computed, not measured: a relaxed structure of K3MgSe at the PBE level of DFT.

## Properties
DOS(E_F): 4.92 states/eV/cell
Formation energy (no corrections): -0.388 eV/atom
E above lowest polymorph: 0.000 kcal/mol of atoms

Cell lengths 6.362, 6.362, 6.362 Å; angles 90.00, 90.00, 90.00 degrees
Fractional positions:
K: 0.000 0.000 0.500
K: 0.000 0.500 0.000
K: 0.500 0.000 0.000
Mg: 0.500 0.500 0.500
Se: 0.000 0.000 0.000

***

[7]
Computed, not measured: a relaxed structure of KMg2Se2 at the PBE level of DFT.

## Properties
DOS(E_F): 3.05 states/eV/cell
Formation energy (no corrections): -0.903 eV/atom

Cell lengths 7.909, 7.909, 7.909 Å; angles 146.66, 146.66, 47.87 degrees
Fractional positions:
K: 0.000 0.000 0.000
Mg: 0.250 0.750 0.500
Mg: 0.750 0.250 0.500
Se: 0.351 0.351 0.000
Se: 0.649 0.649 0.000

***

[8]
Computed, not measured: a relaxed structure of KMgSe2 at the PBE level of DFT.

## Properties
DOS(E_F): 0.93 states/eV/cell
Formation energy (no corrections): -0.870 eV/atom

Cell lengths 3.337, 3.834, 8.066 Å; angles 90.00, 101.48, 90.00 degrees
Fractional positions:
K: 0.000 0.000 0.000
Mg: 0.500 0.000 0.500
Se: 0.351 0.500 0.712
Se: 0.649 0.500 0.288

***

[9]
Computed, not measured: a relaxed structure of KMgSe2 at the PBE level of DFT.

## Properties
DOS(E_F): 1.72 states/eV/cell
Formation energy (no corrections): -0.921 eV/atom

Cell lengths 3.449, 4.407, 8.124 Å; angles 90.00, 102.18, 90.00 degrees
Fractional positions:
K: 0.000 0.000 0.000
Mg: 0.777 0.500 0.549
Se: 0.396 0.500 0.789
Se: 0.684 0.000 0.366

***

[10]
Computed, not measured: a relaxed structure of KMgSe2 at the PBE level of DFT.

## Properties
DOS(E_F): 2.69 states/eV/cell
Formation energy (no corrections): -0.571 eV/atom

Cell lengths 5.021, 5.021, 3.861 Å; angles 90.00, 90.00, 90.00 degrees
Fractional positions:
K: 0.000 0.000 0.000
Mg: 0.500 0.500 0.000
Se: 0.000 0.500 0.500
Se: 0.500 0.000 0.500

***

[11]
Computed, not measured: a relaxed structure of K2Mg2Se3 at the PBE level of DFT.

## Properties
DOS(E_F): 0.00 states/eV/cell
Formation energy (no corrections): -1.264 eV/atom

Cell lengths 11.273, 11.273, 7.307 Å; angles 108.32, 108.32, 83.46 degrees
Fractional positions:
K: 0.067 0.933 0.750
K: 0.215 0.785 0.250
K: 0.312 0.491 0.421
K: 0.491 0.312 0.921
K: 0.509 0.688 0.079
K: 0.688 0.509 0.579
K: 0.785 0.215 0.750
K: 0.933 0.067 0.250
Mg: 0.041 0.576 0.739
Mg: 0.146 0.297 0.799
Mg: 0.297 0.146 0.299
Mg: 0.424 0.959 0.761
Mg: 0.576 0.041 0.239
Mg: 0.703 0.854 0.701
Mg: 0.854 0.703 0.201
Mg: 0.959 0.424 0.261
Se: 0.061 0.646 0.442
Se: 0.090 0.238 0.083
Se: 0.238 0.090 0.583
Se: 0.259 0.508 0.929
Se: 0.354 0.939 0.058
Se: 0.492 0.741 0.571
Se: 0.508 0.259 0.429
Se: 0.646 0.061 0.942
Se: 0.741 0.492 0.071
Se: 0.762 0.910 0.417
Se: 0.910 0.762 0.917
Se: 0.939 0.354 0.558

***

[12]
Computed, not measured: a relaxed structure of KMgSe4 at the PBE level of DFT.

## Properties
DOS(E_F): 3.20 states/eV/cell
Formation energy (no corrections): -0.066 eV/atom

Cell lengths 5.948, 5.948, 5.948 Å; angles 60.00, 60.00, 60.00 degrees
Fractional positions:
K: 0.000 0.000 0.000
Mg: 0.750 0.750 0.750
Se: 0.377 0.377 0.377
Se: 0.377 0.377 0.870
Se: 0.377 0.870 0.377
Se: 0.870 0.377 0.377

***

[13]
Computed, not measured: a relaxed structure of KMgSe2 at the PBE level of DFT.

## Properties
DOS(E_F): 3.95 states/eV/cell
Formation energy (no corrections): -0.152 eV/atom

Cell lengths 5.208, 5.208, 5.208 Å; angles 60.00, 60.00, 60.00 degrees
Fractional positions:
K: 0.000 0.000 0.000
Mg: 0.250 0.250 0.250
Se: 0.500 0.500 0.500
Se: 0.750 0.750 0.750

***

[14]
Computed, not measured: a relaxed structure of KMgSe3 at the PBE level of DFT.

## Properties
DOS(E_F): 3.23 states/eV/cell
Formation energy (no corrections): 0.685 eV/atom
E above lowest polymorph: 26.622 kcal/mol of atoms

Cell lengths 5.690, 5.690, 5.690 Å; angles 90.00, 90.00, 90.00 degrees
Fractional positions:
K: 0.000 0.000 0.000
Mg: 0.500 0.500 0.500
Se: 0.000 0.000 0.500
Se: 0.000 0.500 0.000
Se: 0.500 0.000 0.000

***

[15]
Computed, not measured: a relaxed structure of KMgSe2 at the PBE level of DFT.

## Properties
DOS(E_F): 1.09 states/eV/cell
Formation energy (no corrections): -0.880 eV/atom

Cell lengths 8.468, 8.468, 8.468 Å; angles 157.98, 152.37, 35.61 degrees
Fractional positions:
K: 0.000 0.000 0.000
Mg: 0.247 0.747 0.500
Se: 0.378 0.378 0.000
Se: 0.668 0.168 0.500

***

[16]
Computed, not measured: a relaxed structure of KMgSe2 at the PBE level of DFT.

## Properties
DOS(E_F): 2.18 states/eV/cell
Formation energy (no corrections): -0.750 eV/atom

Cell lengths 5.737, 5.737, 5.737 Å; angles 136.64, 105.98, 89.86 degrees
Fractional positions:
K: 0.000 0.000 0.000
Mg: 0.500 0.500 0.000
Se: 0.308 0.808 0.500
Se: 0.692 0.192 0.500

***

[17]
Computed, not measured: a relaxed structure of KMgSe2 at the PBE level of DFT.

## Properties
DOS(E_F): 1.31 states/eV/cell
Formation energy (no corrections): -0.847 eV/atom

Cell lengths 3.366, 4.019, 8.542 Å; angles 90.00, 90.00, 90.00 degrees
Fractional positions:
K: 0.000 0.000 0.000
Mg: 0.500 0.500 0.514
Se: 0.000 0.000 0.619
Se: 0.500 0.500 0.215

***

[18]
Computed, not measured: a relaxed structure of KMgSe2 at the PBE level of DFT.

## Properties
DOS(E_F): 1.00 states/eV/cell
Formation energy (no corrections): -0.831 eV/atom

Cell lengths 8.980, 8.980, 8.980 Å; angles 139.69, 139.69, 58.32 degrees
Fractional positions:
K: 0.000 0.000 0.000
K: 0.750 0.250 0.500
Mg: 0.250 0.750 0.500
Mg: 0.500 0.500 0.000
Se: 0.372 0.625 0.247
Se: 0.375 0.622 0.747
Se: 0.378 0.125 0.753
Se: 0.875 0.628 0.253

***

[19]
Computed, not measured: a relaxed structure of K4MgSe at the PBE level of DFT.

## Properties
DOS(E_F): 1.19 states/eV/cell
Formation energy (no corrections): 0.097 eV/atom

Cell lengths 7.227, 7.227, 7.227 Å; angles 60.00, 60.00, 60.00 degrees
Fractional positions:
K: 0.377 0.377 0.377
K: 0.377 0.377 0.870
K: 0.377 0.870 0.377
K: 0.870 0.377 0.377
Mg: 0.000 0.000 0.000
Se: 0.750 0.750 0.750

***

[20]
Computed, not measured: a relaxed structure of KMgSe2 at the PBE level of DFT.

## Properties
DOS(E_F): 1.18 states/eV/cell
Formation energy (no corrections): -0.790 eV/atom

Cell lengths 3.203, 3.716, 8.063 Å; angles 90.00, 90.00, 90.00 degrees
Fractional positions:
K: 0.000 0.000 0.000
Mg: 0.000 0.000 0.500
Se: 0.500 0.500 0.291
Se: 0.500 0.500 0.709